(1)
Computed, not measured: a relaxed structure of MnTlI2O at the PBE with a Hubbard U level of DFT.

Computed properties:
Magnetization   5.7 μB/cell

Cell lengths 6.195, 6.195, 4.139 Å; angles 90.00, 90.00, 90.00 degrees
Each line ends with the local moment (μB).
Atoms (fractional coordinates):
Mn 0.500 0.500 0.500  4.92
I 0.000 0.500 0.000  0.04
O 0.000 0.000 0.500  0.00
I 0.500 0.000 0.000  0.04
Tl 0.000 0.000 0.000  0.00

---

(2)
Computed, not measured: a relaxed structure of MnTlI2O at the PBE with a Hubbard U level of DFT.

Computed properties:
Magnetization   4.1 μB/cell

Cell lengths 6.175, 6.175, 3.763 Å; angles 90.00, 90.00, 90.00 degrees
Each line ends with the local moment (μB).
Atoms (fractional coordinates):
I 0.500 0.000 0.000  -0.05
O 0.000 0.000 0.500  -0.17
Tl 0.500 0.500 0.500  0.00
I 0.000 0.500 0.000  -0.05
Mn 0.000 0.000 0.000  4.24

---

Which structure wins on stability? (2) wins.

---

(1)
Computed, not measured: a relaxed structure of MnVIO2 at the PBE with a Hubbard U level of DFT.

Computed properties:
Magnetization   6.6 μB/cell

Cell lengths 3.924, 3.924, 5.655 Å; angles 90.00, 90.00, 90.00 degrees
Each line ends with the local moment (μB).
Atoms (fractional coordinates):
O 0.500 0.000 0.000  -0.11
O 0.000 0.500 0.000  -0.11
I 0.000 0.000 0.500  0.02
Mn 0.500 0.500 0.500  4.62
V 0.000 0.000 0.000  1.65

---

(2)
Computed, not measured: a relaxed structure of MnVIO2 at the PBE with a Hubbard U level of DFT.

Computed properties:
Magnetization   7.0 μB/cell

Cell lengths 3.936, 3.936, 5.780 Å; angles 90.00, 90.00, 90.00 degrees
Each line ends with the local moment (μB).
Atoms (fractional coordinates):
Mn 0.000 0.000 0.000  3.95
I 0.000 0.000 0.500  0.00
O 0.500 0.000 0.000  -0.19
O 0.000 0.500 0.000  -0.19
V 0.500 0.500 0.500  2.95

---

Which structure wins on stability? (1) wins.

---

(1)
Computed, not measured: a relaxed structure of MnWI2O at the PBE with a Hubbard U level of DFT.

Computed properties:
Magnetization   9.0 μB/cell

Cell lengths 5.771, 5.771, 3.752 Å; angles 90.00, 90.00, 90.00 degrees
Each line ends with the local moment (μB).
Atoms (fractional coordinates):
I 0.500 0.000 0.000  -0.07
Mn 0.000 0.000 0.000  4.22
W 0.500 0.500 0.500  3.70
I 0.000 0.500 0.000  -0.07
O 0.000 0.000 0.500  -0.01

---

(2)
Computed, not measured: a relaxed structure of MnWI2O at the PBE with a Hubbard U level of DFT.

Computed properties:
Magnetization   8.6 μB/cell

Cell lengths 6.072, 6.072, 3.906 Å; angles 90.00, 90.00, 90.00 degrees
Each line ends with the local moment (μB).
Atoms (fractional coordinates):
I 0.500 0.000 0.000  0.06
I 0.000 0.500 0.000  0.06
O 0.000 0.000 0.500  -0.21
Mn 0.500 0.500 0.500  4.92
W 0.000 0.000 0.000  2.62

---

Which structure wins on stability? (2) wins.

---

(1)
Computed, not measured: a relaxed structure of MnZnIO2 at the PBE with a Hubbard U level of DFT.

Computed properties:
Magnetization   3.3 μB/cell

Cell lengths 3.852, 3.852, 6.422 Å; angles 90.00, 90.00, 90.00 degrees
Each line ends with the local moment (μB).
Atoms (fractional coordinates):
O 0.500 0.000 0.000  -0.32
Zn 0.500 0.500 0.500  0.01
I 0.000 0.000 0.500  0.03
Mn 0.000 0.000 0.000  3.87
O 0.000 0.500 0.000  -0.32

---

(2)
Computed, not measured: a relaxed structure of MnZnIO2 at the PBE with a Hubbard U level of DFT.

Computed properties:
Magnetization   6.1 μB/cell

Cell lengths 4.001, 4.001, 5.706 Å; angles 90.00, 90.00, 90.00 degrees
Each line ends with the local moment (μB).
Atoms (fractional coordinates):
I 0.000 0.000 0.500  0.02
O 0.000 0.500 0.000  0.47
O 0.500 0.000 0.000  0.47
Mn 0.500 0.500 0.500  4.65
Zn 0.000 0.000 0.000  0.03

---

Which structure wins on stability? (1) wins.

---

(1)
Computed, not measured: a relaxed structure of ZrMnIO2 at the PBE with a Hubbard U level of DFT.

Computed properties:
Magnetization   4.0 μB/cell

Cell lengths 4.045, 4.045, 5.318 Å; angles 90.00, 90.00, 90.00 degrees
Each line ends with the local moment (μB).
Atoms (fractional coordinates):
I 0.000 0.000 0.500  0.00
Mn 0.000 0.000 0.000  4.13
O 0.500 0.000 0.000  -0.02
O 0.000 0.500 0.000  -0.02
Zr 0.500 0.500 0.500  -0.16

---

(2)
Computed, not measured: a relaxed structure of ZrMnIO2 at the PBE with a Hubbard U level of DFT.

Computed properties:
Magnetization   5.0 μB/cell

Cell lengths 4.144, 4.144, 6.185 Å; angles 90.00, 90.00, 90.00 degrees
Each line ends with the local moment (μB).
Atoms (fractional coordinates):
O 0.500 0.000 0.000  0.02
I 0.000 0.000 0.500  0.04
O 0.000 0.500 0.000  0.02
Mn 0.500 0.500 0.500  4.60
Zr 0.000 0.000 0.000  -0.07

---

Which structure wins on stability? (2) wins.